1.
Density functional theory data (PBE-GGA) for a relaxed structure of PrIn3Te4.

a = 4.473 Å, b = 4.473 Å, c = 15.857 Å
α = 81.89°, β = 81.89°, γ = 60.00°
Sites, in units of the cell vectors:
Pr1 0.000 0.000 0.000
Te1 0.626 0.626 0.121
Te2 0.870 0.870 0.391
Te3 0.374 0.374 0.879
Te4 0.130 0.130 0.609
In1 0.754 0.754 0.739
In2 0.500 0.500 0.500
In3 0.246 0.246 0.261

2.
Density functional theory data (PBE-GGA) for a relaxed structure of Pr2InTe5.

a = 6.364 Å, b = 8.242 Å, c = 13.968 Å
α = 90.00°, β = 90.00°, γ = 112.71°
Sites, in units of the cell vectors:
Pr1 0.827 0.654 0.426
Pr2 0.827 0.654 0.074
Pr3 0.173 0.346 0.574
Pr4 0.173 0.346 0.926
In1 0.813 0.625 0.750
In2 0.187 0.375 0.250
Te1 0.966 0.932 0.899
Te2 0.966 0.932 0.601
Te3 0.317 0.635 0.410
Te4 0.317 0.635 0.090
Te5 0.697 0.394 0.250
Te6 0.303 0.606 0.750
Te7 0.683 0.365 0.590
Te8 0.683 0.365 0.910
Te9 0.034 0.068 0.101
Te10 0.034 0.068 0.399

3.
Density functional theory data (PBE-GGA) for a relaxed structure of Pr3In5Te12.

a = 15.588 Å, b = 15.588 Å, c = 15.588 Å
α = 109.47°, β = 109.47°, γ = 109.47°
Sites, in units of the cell vectors:
Pr1 0.750 0.375 0.125
Pr2 0.875 0.750 0.125
Pr3 0.375 0.750 0.625
Pr4 0.250 0.125 0.375
Pr5 0.875 0.125 0.250
Pr6 0.375 0.625 0.250
Pr7 0.625 0.375 0.750
Pr8 0.125 0.875 0.750
Pr9 0.750 0.875 0.625
Pr10 0.625 0.250 0.375
Pr11 0.125 0.250 0.875
Pr12 0.250 0.625 0.875
In1 0.125 0.375 0.250
In2 0.000 0.500 0.000
In3 0.000 0.000 0.000
In4 0.375 0.250 0.125
In5 0.500 0.000 0.500
In6 0.500 0.500 0.000
In7 0.125 0.750 0.375
In8 0.750 0.125 0.875
In9 0.750 0.625 0.375
In10 0.375 0.125 0.750
In11 0.625 0.875 0.250
In12 0.500 0.500 0.500
In13 0.500 0.000 0.000
In14 0.000 0.000 0.500
In15 0.250 0.375 0.625
In16 0.250 0.875 0.125
In17 0.000 0.500 0.500
In18 0.875 0.250 0.625
In19 0.625 0.750 0.875
In20 0.875 0.625 0.750
Te1 0.716 0.130 0.043
Te2 0.327 0.543 0.413
Te3 0.957 0.370 0.284
Te4 0.543 0.216 0.130
Te5 0.586 0.716 0.673
Te6 0.957 0.587 0.173
Te7 0.327 0.784 0.414
Te8 0.087 0.914 0.130
Te9 0.587 0.957 0.673
Te10 0.716 0.586 0.173
Te11 0.784 0.457 0.370
Te12 0.827 0.913 0.043
Te13 0.130 0.716 0.543
Te14 0.370 0.413 0.086
Te15 0.086 0.913 0.370
Te16 0.414 0.130 0.587
Te17 0.086 0.173 0.216
Te18 0.457 0.673 0.087
Te19 0.827 0.914 0.284
Te20 0.130 0.414 0.087
Te21 0.370 0.957 0.784
Te22 0.587 0.630 0.414
Te23 0.913 0.827 0.543
Te24 0.784 0.327 0.914
Te25 0.413 0.370 0.586
Te26 0.087 0.173 0.457
Te27 0.216 0.673 0.086
Te28 0.173 0.086 0.716
Te29 0.630 0.043 0.216
Te30 0.870 0.586 0.913
Te31 0.543 0.327 0.913
Te32 0.586 0.870 0.413
Te33 0.914 0.827 0.784
Te34 0.914 0.087 0.630
Te35 0.870 0.284 0.457
Te36 0.173 0.087 0.957
Te37 0.630 0.587 0.914
Te38 0.413 0.043 0.327
Te39 0.284 0.414 0.827
Te40 0.216 0.543 0.630
Te41 0.913 0.086 0.870
Te42 0.673 0.216 0.586
Te43 0.457 0.784 0.870
Te44 0.043 0.413 0.827
Te45 0.414 0.284 0.327
Te46 0.043 0.630 0.716
Te47 0.673 0.457 0.587
Te48 0.284 0.870 0.957

4.
Density functional theory data (PBE-GGA) for a relaxed structure of Pr12In3Te5.

a = 16.100 Å, b = 16.100 Å, c = 16.100 Å
α = 109.47°, β = 109.47°, γ = 109.47°
Each line ends with the local moment (μB).
Sites, in units of the cell vectors:
In1 0.750 0.375 0.125  -0.01
In2 0.875 0.750 0.125  -0.01
In3 0.375 0.750 0.625  -0.01
In4 0.250 0.125 0.375  -0.01
In5 0.875 0.125 0.250  -0.01
In6 0.375 0.625 0.250  -0.01
In7 0.625 0.375 0.750  -0.01
In8 0.125 0.875 0.750  -0.01
In9 0.750 0.875 0.625  -0.01
In10 0.625 0.250 0.375  -0.01
In11 0.125 0.250 0.875  -0.01
In12 0.250 0.625 0.875  -0.01
Te1 0.125 0.375 0.250  0.00
Te2 0.000 0.500 0.000  -0.01
Te3 0.000 0.000 0.000  -0.01
Te4 0.375 0.250 0.125  0.00
Te5 0.500 0.000 0.500  -0.01
Te6 0.500 0.500 0.000  -0.01
Te7 0.125 0.750 0.375  0.00
Te8 0.750 0.125 0.875  0.00
Te9 0.750 0.625 0.375  0.00
Te10 0.375 0.125 0.750  0.00
Te11 0.625 0.875 0.250  0.00
Te12 0.500 0.500 0.500  -0.01
Te13 0.500 0.000 0.000  -0.01
Te14 0.000 0.000 0.500  -0.01
Te15 0.250 0.375 0.625  0.00
Te16 0.250 0.875 0.125  0.00
Te17 0.000 0.500 0.500  -0.01
Te18 0.875 0.250 0.625  0.00
Te19 0.625 0.750 0.875  0.00
Te20 0.875 0.625 0.750  0.00
Pr1 0.725 0.139 0.058  0.11
Pr2 0.333 0.558 0.419  0.11
Pr3 0.942 0.361 0.275  0.11
Pr4 0.558 0.225 0.139  0.11
Pr5 0.586 0.725 0.667  0.11
Pr6 0.942 0.581 0.167  0.11
Pr7 0.333 0.775 0.414  0.11
Pr8 0.081 0.914 0.139  0.11
Pr9 0.581 0.942 0.667  0.11
Pr10 0.725 0.586 0.167  0.11
Pr11 0.775 0.442 0.361  0.11
Pr12 0.833 0.919 0.058  0.11
Pr13 0.139 0.725 0.558  0.11
Pr14 0.361 0.419 0.086  0.11
Pr15 0.086 0.919 0.361  0.11
Pr16 0.414 0.139 0.581  0.11
Pr17 0.086 0.167 0.225  0.11
Pr18 0.442 0.667 0.081  0.11
Pr19 0.833 0.914 0.275  0.11
Pr20 0.139 0.414 0.081  0.11
Pr21 0.361 0.942 0.775  0.11
Pr22 0.581 0.639 0.414  0.11
Pr23 0.919 0.833 0.558  0.11
Pr24 0.775 0.333 0.914  0.11
Pr25 0.419 0.361 0.586  0.11
Pr26 0.081 0.167 0.442  0.11
Pr27 0.225 0.667 0.086  0.11
Pr28 0.167 0.086 0.725  0.11
Pr29 0.639 0.058 0.225  0.11
Pr30 0.861 0.586 0.919  0.11
Pr31 0.558 0.333 0.919  0.11
Pr32 0.586 0.861 0.419  0.11
Pr33 0.914 0.833 0.775  0.11
Pr34 0.914 0.081 0.639  0.11
Pr35 0.861 0.275 0.442  0.11
Pr36 0.167 0.081 0.942  0.11
Pr37 0.639 0.581 0.914  0.11
Pr38 0.419 0.058 0.333  0.11
Pr39 0.275 0.414 0.833  0.11
Pr40 0.225 0.558 0.639  0.11
Pr41 0.919 0.086 0.861  0.11
Pr42 0.667 0.225 0.586  0.11
Pr43 0.442 0.775 0.861  0.11
Pr44 0.058 0.419 0.833  0.11
Pr45 0.414 0.275 0.333  0.11
Pr46 0.058 0.639 0.725  0.11
Pr47 0.667 0.442 0.581  0.11
Pr48 0.275 0.861 0.942  0.11

5.
Density functional theory data (PBE-GGA) for a relaxed structure of Pr5InTe4.

a = 6.411 Å, b = 7.874 Å, c = 7.874 Å
α = 80.46°, β = 65.98°, γ = 65.98°
Sites, in units of the cell vectors:
Pr1 0.903 0.394 0.802
Pr2 0.297 0.802 0.606
Pr3 0.705 0.198 0.394
Pr4 0.099 0.606 0.198
Pr5 0.501 0.000 0.000
In1 0.001 0.000 0.000
Te1 0.403 0.399 0.798
Te2 0.801 0.798 0.601
Te3 0.201 0.202 0.399
Te4 0.599 0.601 0.202

6.
Density functional theory data (PBE-GGA) for a relaxed structure of Pr2ThIn3Te6.

a = 7.744 Å, b = 7.744 Å, c = 8.651 Å
α = 98.57°, β = 98.57°, γ = 119.97°
Sites, in units of the cell vectors:
Pr1 0.334 0.666 0.000
Pr2 0.666 0.334 0.000
Th1 0.000 0.000 0.000
In1 0.169 0.831 0.500
In2 0.831 0.169 0.500
In3 0.500 0.500 0.500
Te1 0.924 0.597 0.770
Te2 0.751 0.751 0.232
Te3 0.076 0.403 0.230
Te4 0.597 0.924 0.770
Te5 0.249 0.249 0.768
Te6 0.403 0.076 0.230

7.
Density functional theory data (PBE-GGA) for a relaxed structure of Pr3TiIn3Te8.

a = 8.848 Å, b = 8.845 Å, c = 9.515 Å
α = 117.68°, β = 90.00°, γ = 120.01°
Each line ends with the local moment (μB).
Sites, in units of the cell vectors:
Pr1 0.500 0.000 0.500  0.00
Pr2 0.500 0.500 0.500  0.00
Pr3 0.000 0.500 0.500  0.00
Ti1 0.000 0.000 0.500  0.17
In1 0.000 0.000 0.000  0.00
In2 0.000 0.500 0.000  0.00
In3 0.500 0.500 0.000  0.00
Te1 0.255 0.510 0.264  0.00
Te2 0.745 0.490 0.736  0.00
Te3 0.779 0.557 0.285  -0.01
Te4 0.221 0.443 0.715  -0.01
Te5 0.779 0.006 0.285  -0.01
Te6 0.221 0.994 0.715  -0.01
Te7 0.227 0.006 0.285  -0.01
Te8 0.773 0.994 0.715  -0.01

8.
Density functional theory data (PBE-GGA) for a relaxed structure of PrTlInTe3.

a = 4.709 Å, b = 9.365 Å, c = 10.866 Å
α = 108.79°, β = 90.00°, γ = 90.00°
Sites, in units of the cell vectors:
Pr1 0.250 0.682 0.139
Pr2 0.750 0.318 0.861
Tl1 0.250 0.209 0.223
Tl2 0.750 0.791 0.777
In1 0.250 0.103 0.623
In2 0.750 0.897 0.377
Te1 0.750 0.912 0.107
Te2 0.250 0.088 0.893
Te3 0.250 0.775 0.478
Te4 0.750 0.225 0.522
Te5 0.750 0.462 0.166
Te6 0.250 0.538 0.834

9.
Density functional theory data (PBE-GGA) for a relaxed structure of Pr2Tl3InTe6.

a = 7.886 Å, b = 7.886 Å, c = 8.547 Å
α = 98.97°, β = 98.97°, γ = 119.95°
Sites, in units of the cell vectors:
Pr1 0.335 0.665 0.000
Pr2 0.665 0.335 0.000
Tl1 0.174 0.826 0.500
Tl2 0.826 0.174 0.500
Tl3 0.500 0.500 0.500
In1 0.000 0.000 0.000
Te1 0.929 0.611 0.786
Te2 0.754 0.754 0.224
Te3 0.071 0.389 0.214
Te4 0.611 0.929 0.786
Te5 0.246 0.246 0.776
Te6 0.389 0.071 0.214

10.
Density functional theory data (PBE-GGA) for a relaxed structure of PrY2In3Te6.

a = 7.730 Å, b = 7.730 Å, c = 8.506 Å
α = 98.72°, β = 98.72°, γ = 119.99°
Sites, in units of the cell vectors:
Pr1 0.000 0.000 0.000
Y1 0.333 0.667 0.000
Y2 0.667 0.333 0.000
In1 0.164 0.836 0.500
In2 0.836 0.164 0.500
In3 0.500 0.500 0.500
Te1 0.925 0.583 0.777
Te2 0.731 0.731 0.221
Te3 0.075 0.417 0.223
Te4 0.583 0.925 0.777
Te5 0.269 0.269 0.779
Te6 0.417 0.075 0.223

11.
Density functional theory data (PBE-GGA) for a relaxed structure of Pr3YIn3Te8.

a = 8.994 Å, b = 8.992 Å, c = 9.457 Å
α = 118.38°, β = 90.00°, γ = 120.01°
Sites, in units of the cell vectors:
Pr1 0.500 0.000 0.500
Pr2 0.500 0.500 0.500
Pr3 0.000 0.500 0.500
Y1 0.000 0.000 0.500
In1 0.000 0.000 0.000
In2 0.000 0.500 0.000
In3 0.500 0.500 0.000
Te1 0.254 0.509 0.263
Te2 0.746 0.491 0.737
Te3 0.761 0.522 0.270
Te4 0.239 0.478 0.730
Te5 0.761 0.009 0.270
Te6 0.239 0.991 0.730
Te7 0.248 0.009 0.270
Te8 0.752 0.991 0.730

12.
Density functional theory data (PBE-GGA) for a relaxed structure of Pr5ThIn6.

**Energy of formation from the pure elements**: -0.440 eV/atom

a = 5.502 Å, b = 9.570 Å, c = 9.535 Å
α = 59.88°, β = 73.20°, γ = 54.82°
Sites, in units of the cell vectors:
Pr1 0.500 0.163 0.675
Pr2 0.000 0.330 0.339
Pr3 0.500 0.500 0.000
Pr4 0.000 0.670 0.661
Pr5 0.500 0.837 0.325
Th1 0.000 0.000 0.000
In1 0.747 0.086 0.335
In2 0.253 0.579 0.335
In3 0.244 0.256 0.000
In4 0.756 0.744 0.000
In5 0.747 0.421 0.665
In6 0.253 0.914 0.665

Per-record calculated total energy, eV per atom: -3.808 -4.336 -3.966 -4.581 -5.191 -4.587 -4.600 -3.921 -3.970 -4.718 -4.634 -4.419